{"formula": "Pr2HoTm4Mg", "functional": "PBE", "state": "optimized geometry", "cell": [[4.964, 0.000, 0.000], [0.000, 4.950, 0.000], [-0.008, 0.000, 10.097]], "species": ["Pr", "Pr", "Ho", "Tm", "Tm", "Tm", "Tm", "Mg"], "fractional_positions": [[0.000, 0.000, 0.000], [0.500, 0.500, 0.500], [0.000, 0.000, 0.500], [0.000, 0.500, 0.250], [0.000, 0.500, 0.750], [0.500, 0.000, 0.250], [0.500, 0.000, 0.750], [0.500, 0.500, 0.000]], "dft_energy_ev_per_atom": -4.163, "e_form_ev_per_atom": 0.0390, "sg": "P2/m"}